1.
# BaReTc2, optimized geometry, DFT PBE-GGA
# Spin magnetization, μB/cell: 0.00
# Energy relative to the elements, kJ/mol of atoms: 64.6
# Crystal system: monoclinic
# Calculated volume, Å³/f.u.: 83.0
data_BaReTc2
_symmetry_space_group_name_H-M 'P 1 2/m 1'
_symmetry_Int_Tables_number 10
_symmetry_space_group_name_Hall '-P 2y'
_cell_length_a 3.189
_cell_length_b 3.228
_cell_length_c 8.059
_cell_angle_alpha 90.00
_cell_angle_beta 90.21
_cell_angle_gamma 90.00
loop_
_atom_site_label
_atom_site_type_symbol
_atom_site_fract_x
_atom_site_fract_y
_atom_site_fract_z
_atom_site_occupancy
Ba1 Ba 0.000 0.000 0.000 1
Re1 Re 0.000 0.000 0.500 1
Tc1 Tc 0.499 0.500 0.333 1

2.
# BaReTc2, optimized geometry, DFT PBE-GGA
# Spin magnetization, μB/cell: 0.00
# Energy relative to the elements, kJ/mol of atoms: 110.8
# Crystal system: tetragonal
# Calculated volume, Å³/f.u.: 92.1
data_BaReTc2
_symmetry_space_group_name_H-M 'I -4 2 d'
_symmetry_Int_Tables_number 122
_symmetry_space_group_name_Hall 'I -4 2bw'
_cell_length_a 7.520
_cell_length_b 7.520
_cell_length_c 6.514
_cell_angle_alpha 90.00
_cell_angle_beta 90.00
_cell_angle_gamma 90.00
loop_
_atom_site_label
_atom_site_type_symbol
_atom_site_fract_x
_atom_site_fract_y
_atom_site_fract_z
_atom_site_occupancy
Ba1 Ba 0.000 0.000 0.000 1
Re1 Re 0.000 0.000 0.500 1
Tc1 Tc 0.174 0.250 0.625 1

3.
# BaReTc2, optimized geometry, DFT PBE-GGA
# Spin magnetization, μB/cell: 0.00
# Energy relative to the elements, kJ/mol of atoms: 134.3
# Crystal system: monoclinic
# Calculated volume, Å³/f.u.: 74.5
data_BaReTc2
_symmetry_space_group_name_H-M 'C 1 2/m 1'
_symmetry_Int_Tables_number 12
_symmetry_space_group_name_Hall '-C 2y'
_cell_length_a 6.200
_cell_length_b 8.955
_cell_length_c 2.903
_cell_angle_alpha 90.00
_cell_angle_beta 112.29
_cell_angle_gamma 90.00
loop_
_atom_site_label
_atom_site_type_symbol
_atom_site_fract_x
_atom_site_fract_y
_atom_site_fract_z
_atom_site_occupancy
Ba1 Ba 0.000 0.000 0.000 1
Re1 Re 0.000 0.500 0.000 1
Tc1 Tc 0.250 0.250 0.500 1